No. 1
# Ba2AgW | Alexandria via LeMat-Bulk | SCAN | single point on PBEsol structure
data_Ba2AgW
_cell_length_a 3.317
_cell_length_b 3.921
_cell_length_c 9.236
_cell_angle_alpha 90.00
_cell_angle_beta 90.00
_cell_angle_gamma 90.00
_space_group_name_H-M_alt 'P m m 2'
_space_group_IT_number 25
loop_
_space_group_symop_operation_xyz
'x,y,z'
'-x,-y,z'
'-x,y,z'
'x,-y,z'
loop_
_atom_site_label
_atom_site_type_symbol
_atom_site_fract_x
_atom_site_fract_y
_atom_site_fract_z
Ba1 Ba 0.000 0.000 0.000
Ba2 Ba 0.500 0.500 0.407
Ag1 Ag 0.000 0.000 0.642
W1 W 0.500 0.500 0.745
# Total magnetization = 0.0 μB/cell
# Formation energy from the elements = 3.9 eV/f.u.
# Energy above the lowest structure with this stoichiometry = 0 meV/atom
# Total energy = -176.243 eV for the cell shown

No. 2
# Rb2ScTlF6 | Alexandria via LeMat-Bulk | SCAN | single point on PBEsol structure
data_Rb2ScTlF6
_cell_length_a 9.208
_cell_length_b 9.208
_cell_length_c 9.208
_cell_angle_alpha 90.00
_cell_angle_beta 90.00
_cell_angle_gamma 90.00
_space_group_name_H-M_alt 'F m -3 m'
_space_group_IT_number 225
_space_group_name_Hall '-F 4 2 3'
loop_
_atom_site_label
_atom_site_type_symbol
_atom_site_fract_x
_atom_site_fract_y
_atom_site_fract_z
Rb1 Rb 0.250 0.250 0.250
Sc1 Sc 0.000 0.000 0.000
Tl1 Tl 0.000 0.000 0.500
F1 F 0.000 0.000 0.218
# Total magnetization = 0.0 μB/cell
# ΔE_f (raw) = -3.25 eV/atom
# Total energy = -727.114 eV for the cell shown

No. 3
# HgP2Ru | Alexandria via LeMat-Bulk | SCAN | single point on PBEsol structure
data_HgP2Ru
_cell_length_a 5.506
_cell_length_b 5.506
_cell_length_c 10.960
_cell_angle_alpha 90.00
_cell_angle_beta 90.00
_cell_angle_gamma 90.00
_space_group_name_H-M_alt 'I -4 2 d'
_space_group_IT_number 122
_space_group_name_Hall 'I -4 2bw'
loop_
_atom_site_label
_atom_site_type_symbol
_atom_site_fract_x
_atom_site_fract_y
_atom_site_fract_z
Hg1 Hg 0.000 0.000 0.000
P1 P 0.194 0.250 0.625
Ru1 Ru 0.000 0.000 0.500
# Total magnetization = 0.0 μB/cell
# Formation energy from the elements = 0.1 eV/f.u.
# Total energy = -494.826 eV for the cell shown

No. 4
# Mg2ZrMn | Alexandria via LeMat-Bulk | SCAN | single point on PBEsol structure
data_Mg2ZrMn
_cell_length_a 2.983
_cell_length_b 2.983
_cell_length_c 8.504
_cell_angle_alpha 90.00
_cell_angle_beta 90.00
_cell_angle_gamma 90.00
_space_group_name_H-M_alt 'P 4/m m m'
_space_group_IT_number 123
_space_group_name_Hall '-P 4 2'
loop_
_atom_site_label
_atom_site_type_symbol
_atom_site_fract_x
_atom_site_fract_y
_atom_site_fract_z
Mg1 Mg 0.000 0.000 0.220
Zr1 Zr 0.500 0.500 0.500
Mn1 Mn 0.500 0.500 0.000
# Total magnetization = 4.5 μB/cell
# Formation energy from the elements = 0.3 eV/f.u.
# Total energy = -58.640 eV for the cell shown

No. 5
# ScTlIrRh2 | Alexandria via LeMat-Bulk | SCAN | single point on PBEsol structure
data_ScTlIrRh2
_cell_length_a 4.742
_cell_length_b 4.742
_cell_length_c 5.018
_cell_angle_alpha 90.00
_cell_angle_beta 90.00
_cell_angle_gamma 90.00
_space_group_name_H-M_alt 'P 4/m m m'
_space_group_IT_number 123
_space_group_name_Hall '-P 4 2'
loop_
_atom_site_label
_atom_site_type_symbol
_atom_site_fract_x
_atom_site_fract_y
_atom_site_fract_z
Sc1 Sc 0.000 0.000 0.000
Tl1 Tl 0.000 0.000 0.500
Ir1 Ir 0.500 0.500 0.000
Rh1 Rh 0.000 0.500 0.500
# Total magnetization = 0.0 μB/cell
# Formation energy from the elements = 8.6 eV/f.u.
# Total energy = -216.601 eV for the cell shown

No. 6
# Cs3H5Pt | Alexandria via LeMat-Bulk | SCAN | single point on PBEsol structure
data_Cs3H5Pt
_cell_length_a 7.902
_cell_length_b 7.902
_cell_length_c 6.088
_cell_angle_alpha 90.00
_cell_angle_beta 90.00
_cell_angle_gamma 90.00
_space_group_name_H-M_alt 'P 4/m b m'
_space_group_IT_number 127
_space_group_name_Hall '-P 4 2ab'
loop_
_atom_site_label
_atom_site_type_symbol
_atom_site_fract_x
_atom_site_fract_y
_atom_site_fract_z
Cs1 Cs 0.000 0.000 0.000
Cs2 Cs 0.184 0.316 0.500
H1 H 0.000 0.000 0.500
H2 H 0.106 0.606 0.189
Pt1 Pt 0.000 0.500 0.000
# Total magnetization = 0.0 μB/cell
# Total energy = -409.932 eV for the cell shown

No. 7
# Rb2OsPd | Alexandria via LeMat-Bulk | SCAN | single point on PBEsol structure
data_Rb2OsPd
_cell_length_a 7.600
_cell_length_b 7.600
_cell_length_c 7.600
_cell_angle_alpha 90.00
_cell_angle_beta 90.00
_cell_angle_gamma 90.00
_space_group_name_H-M_alt 'F m -3 m'
_space_group_IT_number 225
_space_group_name_Hall '-F 4 2 3'
loop_
_atom_site_label
_atom_site_type_symbol
_atom_site_fract_x
_atom_site_fract_y
_atom_site_fract_z
Rb1 Rb 0.250 0.250 0.250
Os1 Os 0.000 0.000 0.000
Pd1 Pd 0.000 0.000 0.500
# Total magnetization = 10.8 μB/cell
# Formation energy from the elements = 6.8 eV/f.u.
# Total energy = -557.505 eV for the cell shown

No. 8
# ZnCd2HPt | Alexandria via LeMat-Bulk | SCAN | single point on PBEsol structure
data_ZnCd2HPt
_cell_length_a 5.247
_cell_length_b 5.247
_cell_length_c 3.297
_cell_angle_alpha 90.00
_cell_angle_beta 90.00
_cell_angle_gamma 90.00
_space_group_name_H-M_alt 'P 4/m m m'
_space_group_IT_number 123
_space_group_name_Hall '-P 4 2'
loop_
_atom_site_label
_atom_site_type_symbol
_atom_site_fract_x
_atom_site_fract_y
_atom_site_fract_z
Zn1 Zn 0.000 0.000 0.000
Cd1 Cd 0.000 0.500 0.500
H1 H 0.500 0.500 0.000
Pt1 Pt 0.500 0.500 0.500
# Total magnetization = 0.0 μB/cell
# Total energy = -147.385 eV for the cell shown

total energy of number 1 (Ba2AgW)? -176.243 eV for the cell shown

What is the total magnetization in the fifth record? 0.0 μB/cell

Which of these has the highest total magnetization? Rb2OsPd